## Cr2TcAs (GGA-PBE)

Data for a relaxed Cr2TcAs crystal.

Cell: 4.577 4.577 2.815 Å, 90.00 90.00 115.16°
Fractional coordinates of all 4 atoms:
Cr 0.000 0.500 0.000
Cr 0.500 0.000 0.000
Tc 0.000 0.000 0.500
As 0.500 0.500 0.500

## Properties
DOS(E_F) = 4.658 states/eV/cell
E = -33.5 eV per cell
DFT formation energy = 0.18 eV/atom
total moment = 0.0 μB/f.u.